1.
VASP calculation (PBE) on a relaxed structure of SrLi3Os.

Calculated values
Formation energy ... 0.618 eV/atom
Crystal system ... cubic
Relative energy among the computed polymorphs ... 0.0 meV/atom
SG ... Pm-3m, No. 221

Cell: 4.826 4.826 4.826 Å, 90.00 90.00 90.00°
Element x y z (fractional)
Os 0.000 0.000 0.000
Sr 0.500 0.500 0.500
Li 0.000 0.000 0.500
Li 0.000 0.500 0.000
Li 0.500 0.000 0.000

2.
VASP calculation (PBE) on a relaxed structure of YSb2Au.

Calculated values
Crystal system ... tetragonal
Calculated total energy ... -20.0 eV per cell
SG ... I4/mmm, No. 139

Cell: 5.923 5.923 5.923 Å, 136.00 136.00 63.99°
Element x y z (fractional)
Sb 0.000 0.000 0.000
Y 0.250 0.750 0.500
Au 0.750 0.250 0.500
Sb 0.500 0.500 0.000

3.
VASP calculation (PBE) on a relaxed structure of LiMg.

Calculated values
Formation energy ... -0.038 eV/atom
Crystal system ... monoclinic
SG ... C2, No. 5

Cell: 5.310 5.310 5.757 Å, 65.63 65.63 62.23°
Element x y z (fractional)
Mg 0.322 0.678 0.000
Mg 0.841 0.819 0.508
Li 0.983 0.341 0.004
Li 0.514 0.486 0.500
Li 0.659 0.017 0.996
Mg 0.181 0.159 0.492

4.
VASP calculation (PBE) on a relaxed structure of NbReSi2.

Calculated values
Crystal system ... cubic
Calculated total energy ... -33.9 eV per cell
SG ... Fm-3m, No. 225

Cell: 4.344 4.344 4.344 Å, 60.00 60.00 60.00°
Element x y z (fractional)
Re 0.500 0.500 0.500
Si 0.750 0.750 0.750
Nb 0.000 0.000 0.000
Si 0.250 0.250 0.250

Result set for Fermi-level density of states: 3.57; 2.12; 2.11; 8.09 states/eV per cell, one per record in the order listed.